# 1
{"formula": "Tl3BTe", "functional": "PBE", "state": "optimized geometry", "relative_energy_ev_per_atom": 0.929, "cell": [[6.466, 0.000, 0.000], [0.000, 6.466, 0.000], [0.000, 0.000, 6.466]], "species": ["Tl", "Tl", "Tl", "B", "Te"], "fractional_positions": [[0.500, 0.000, 0.000], [0.000, 0.000, 0.500], [0.000, 0.500, 0.000], [0.500, 0.500, 0.500], [0.000, 0.000, 0.000]]}

---

# 2
{"formula": "TlB2Te", "functional": "PBE", "state": "optimized geometry", "relative_energy_ev_per_atom": 0.758, "cell": [[0.000, 3.313, 3.313], [3.313, 0.000, 3.313], [3.313, 3.313, 0.000]], "species": ["Te", "B", "B", "Tl"], "fractional_positions": [[0.000, 0.000, 0.000], [0.250, 0.250, 0.250], [0.750, 0.750, 0.750], [0.500, 0.500, 0.500]]}

---

# 3
{"formula": "Tl3BTe", "functional": "PBE", "state": "optimized geometry", "relative_energy_ev_per_atom": 0.000, "cell": [[5.073, 0.000, 0.000], [0.000, 5.073, 0.000], [0.000, 0.000, 5.073]], "species": ["Te", "Tl", "Tl", "Tl", "B"], "fractional_positions": [[0.500, 0.500, 0.500], [0.000, 0.000, 0.500], [0.500, 0.000, 0.000], [0.000, 0.500, 0.000], [0.000, 0.000, 0.000]]}

---

# 4
{"formula": "TlB2Te", "functional": "PBE", "state": "optimized geometry", "relative_energy_ev_per_atom": 0.000, "cell": [[-2.434, -1.745, 4.522], [4.796, -1.598, 1.965], [1.863, 3.081, 5.444]], "species": ["B", "B", "B", "B", "Te", "Te", "Tl", "Tl"], "fractional_positions": [[0.138, 0.625, 0.250], [0.612, 0.125, 0.250], [0.875, 0.862, 0.750], [0.375, 0.388, 0.750], [0.250, 0.750, 0.500], [0.500, 0.500, 0.000], [0.000, 0.000, 0.000], [0.750, 0.250, 0.500]]}

---

# 5
{"formula": "Tl2BTe5", "functional": "PBE", "state": "optimized geometry", "final_energy_ev_per_atom": -3.34, "cell": [[8.291, 0.022, 0.017], [0.217, 5.866, -0.298], [-4.187, -3.258, 6.039]], "species": ["Te", "Te", "Te", "Te", "Te", "Tl", "Tl", "B"], "fractional_positions": [[0.756, 0.721, 0.015], [0.229, 0.373, 0.901], [0.864, 0.275, 0.107], [0.219, 0.915, 0.040], [0.690, 0.681, 0.512], [0.324, 0.774, 0.596], [0.798, 0.158, 0.490], [0.898, 0.880, 0.893]]}

---

# 6
{"formula": "TlBTe", "functional": "PBE", "state": "optimized geometry", "final_energy_ev_per_atom": -3.84, "cell": [[4.556, 0.000, 0.000], [0.000, 5.429, 0.000], [-2.278, -2.715, 7.447]], "species": ["B", "B", "Te", "Te", "Tl", "Tl"], "fractional_positions": [[0.325, 0.500, 0.000], [0.675, 0.500, 0.000], [0.115, 0.615, 0.230], [0.885, 0.385, 0.770], [0.383, 0.883, 0.767], [0.617, 0.117, 0.233]]}

---

# 7
{"formula": "Tm2BTe", "functional": "PBE", "state": "optimized geometry", "final_energy_ev_per_atom": -5.35, "cell": [[-2.848, 0.533, 2.538], [-0.655, -2.627, 2.740], [3.346, 2.711, 6.109]], "species": ["Tm", "Tm", "B", "Te"], "fractional_positions": [[0.733, 0.733, 0.800], [0.267, 0.267, 0.200], [0.000, 0.000, 0.000], [0.500, 0.500, 0.500]]}

---

# 8
{"formula": "Tm5B2Te", "functional": "PBE", "state": "optimized geometry", "final_energy_ev_per_atom": -5.19, "cell": [[6.349, 0.000, -2.997], [-1.415, 6.189, -2.997], [0.167, 0.209, 8.576]], "species": ["B", "B", "B", "B", "Tm", "Tm", "Tm", "Tm", "Tm", "Tm", "Tm", "Tm", "Tm", "Tm", "Te", "Te"], "fractional_positions": [[0.402, 0.902, 0.000], [0.902, 0.598, 0.000], [0.598, 0.098, 0.000], [0.098, 0.402, 0.000], [0.500, 0.500, 0.000], [0.466, 0.295, 0.261], [0.966, 0.466, 0.261], [0.000, 0.000, 0.000], [0.705, 0.205, 0.739], [0.295, 0.795, 0.261], [0.795, 0.966, 0.261], [0.034, 0.534, 0.739], [0.534, 0.705, 0.739], [0.205, 0.034, 0.739], [0.750, 0.750, 0.500], [0.250, 0.250, 0.500]]}

---

# 9
{"formula": "Tm3BTe2", "functional": "PBE", "state": "optimized geometry", "relative_energy_ev_per_atom": 0.000, "cell": [[7.089, 0.088, -1.328], [-2.661, 6.572, -1.328], [-0.090, -0.135, 12.884]], "species": ["Tm", "Tm", "Tm", "Tm", "Tm", "Tm", "Tm", "Tm", "Tm", "Tm", "Tm", "Tm", "B", "B", "B", "B", "Te", "Te", "Te", "Te", "Te", "Te", "Te", "Te"], "fractional_positions": [[0.954, 0.908, 0.314], [0.158, 0.704, 0.814], [0.447, 0.947, 0.500], [0.360, 0.405, 0.314], [0.803, 0.803, 0.000], [0.890, 0.345, 0.186], [0.296, 0.842, 0.186], [0.595, 0.640, 0.686], [0.053, 0.553, 0.500], [0.092, 0.046, 0.686], [0.197, 0.197, 0.000], [0.655, 0.110, 0.814], [0.916, 0.916, 0.832], [0.334, 0.834, 0.668], [0.166, 0.666, 0.332], [0.084, 0.084, 0.168], [0.506, 0.006, 0.012], [0.578, 0.578, 0.155], [0.672, 0.172, 0.345], [0.256, 0.256, 0.512], [0.994, 0.494, 0.988], [0.422, 0.422, 0.845], [0.744, 0.744, 0.488], [0.828, 0.328, 0.655]]}

---

# 10
{"formula": "Tm3BTe2", "functional": "PBE", "state": "optimized geometry", "relative_energy_ev_per_atom": 0.132, "cell": [[4.043, 0.000, 0.000], [0.000, 5.783, 0.000], [0.000, -2.892, 7.091]], "species": ["Te", "Te", "Tm", "Tm", "Tm", "B"], "fractional_positions": [[0.500, 0.661, 0.323], [0.500, 0.339, 0.677], [0.000, 0.500, 0.000], [0.500, 0.888, 0.776], [0.500, 0.112, 0.224], [0.000, 0.000, 0.000]]}

---

# 11
{"formula": "VBTe3", "functional": "PBE", "state": "optimized geometry", "relative_energy_ev_per_atom": 0.262, "cell": [[-1.402, -4.889, -1.079], [4.981, -1.476, 0.218], [-0.511, -0.975, 5.081]], "species": ["V", "Te", "Te", "Te", "B"], "fractional_positions": [[0.000, 0.000, 0.000], [0.000, 0.500, 0.000], [0.000, 0.000, 0.500], [0.500, 0.000, 0.000], [0.500, 0.500, 0.500]]}

---

# 12
{"formula": "VBTe2", "functional": "PBE", "state": "optimized geometry", "final_energy_ev_per_atom": -4.58, "cell": [[-7.328, -0.893, 4.145], [-6.486, -4.212, 3.446], [-5.108, -2.607, 6.228]], "species": ["V", "Te", "Te", "B"], "fractional_positions": [[0.000, 0.000, 0.000], [0.892, 0.892, 0.892], [0.108, 0.108, 0.108], [0.500, 0.500, 0.500]]}

---

# 13
{"formula": "V3BTe", "functional": "PBE", "state": "optimized geometry", "relative_energy_ev_per_atom": 2.060, "cell": [[4.911, 0.000, 0.000], [0.000, 4.911, 0.000], [0.000, 0.000, 4.911]], "species": ["B", "V", "V", "V", "Te"], "fractional_positions": [[0.500, 0.500, 0.500], [0.500, 0.000, 0.000], [0.000, 0.500, 0.000], [0.000, 0.000, 0.500], [0.000, 0.000, 0.000]]}

---

# 14
{"formula": "V2BTe2", "functional": "PBE", "state": "optimized geometry", "relative_energy_ev_per_atom": 0.154, "cell": [[-2.781, -6.852, -0.229], [6.671, -2.762, 1.617], [-0.752, 0.191, 3.426]], "species": ["V", "V", "V", "V", "Te", "Te", "Te", "Te", "B", "B"], "fractional_positions": [[0.134, 0.634, 0.500], [0.366, 0.134, 0.500], [0.866, 0.366, 0.500], [0.634, 0.866, 0.500], [0.338, 0.838, 0.000], [0.662, 0.162, 0.000], [0.838, 0.662, 0.000], [0.162, 0.338, 0.000], [0.000, 0.000, 0.000], [0.500, 0.500, 0.000]]}

---

# 15
{"formula": "V2BTe2", "functional": "PBE", "state": "optimized geometry", "relative_energy_ev_per_atom": 0.000, "cell": [[-2.399, 1.117, 2.478], [-2.669, -0.341, -2.430], [-3.615, -6.806, 2.221]], "species": ["Te", "Te", "B", "V", "V"], "fractional_positions": [[0.384, 0.384, 0.233], [0.616, 0.616, 0.767], [0.000, 0.000, 0.000], [0.750, 0.250, 0.500], [0.250, 0.750, 0.500]]}

---

# 16
{"formula": "VBTe3", "functional": "PBE", "state": "optimized geometry", "relative_energy_ev_per_atom": 0.000, "cell": [[4.817, 0.000, 0.000], [0.000, 4.817, 0.000], [0.000, 0.000, 4.817]], "species": ["Te", "Te", "Te", "B", "V"], "fractional_positions": [[0.000, 0.000, 0.500], [0.500, 0.000, 0.000], [0.000, 0.500, 0.000], [0.000, 0.000, 0.000], [0.500, 0.500, 0.500]]}

---

# 17
{"formula": "VBTe2", "functional": "PBE", "state": "optimized geometry", "final_energy_ev_per_atom": -4.75, "cell": [[-0.470, 7.279, 2.985], [-1.585, 5.195, 5.711], [1.944, 5.663, 5.125]], "species": ["Te", "Te", "B", "V"], "fractional_positions": [[0.092, 0.092, 0.092], [0.908, 0.908, 0.908], [0.000, 0.000, 0.000], [0.500, 0.500, 0.500]]}

---

# 18
{"formula": "VBTe2", "functional": "PBE", "state": "optimized geometry", "final_energy_ev_per_atom": -5.04, "cell": [[-0.351, 3.279, 5.084], [1.763, -4.816, 3.228], [5.595, 0.640, 3.586]], "species": ["Te", "Te", "Te", "Te", "B", "B", "V", "V"], "fractional_positions": [[0.875, 0.821, 0.750], [0.179, 0.625, 0.250], [0.375, 0.429, 0.750], [0.571, 0.125, 0.250], [0.250, 0.750, 0.500], [0.500, 0.500, 0.000], [0.000, 0.000, 0.000], [0.750, 0.250, 0.500]]}

---

# 19
{"formula": "V3BTe", "functional": "PBE", "state": "optimized geometry", "relative_energy_ev_per_atom": 0.000, "cell": [[4.119, 0.000, 0.000], [0.000, 4.119, 0.000], [0.000, 0.000, 4.119]], "species": ["V", "V", "V", "B", "Te"], "fractional_positions": [[0.500, 0.000, 0.000], [0.000, 0.500, 0.000], [0.000, 0.000, 0.500], [0.000, 0.000, 0.000], [0.500, 0.500, 0.500]]}

---

# 20
{"formula": "V2B2Te", "functional": "PBE", "state": "optimized geometry", "relative_energy_ev_per_atom": 0.110, "cell": [[-5.085, -3.967, 1.871], [4.379, -4.436, 2.496], [-0.110, 1.438, 2.749]], "species": ["V", "V", "V", "V", "B", "B", "B", "B", "Te", "Te"], "fractional_positions": [[0.637, 0.137, 0.000], [0.863, 0.637, 0.000], [0.137, 0.363, 0.000], [0.363, 0.863, 0.000], [0.911, 0.411, 0.500], [0.589, 0.911, 0.500], [0.411, 0.089, 0.500], [0.089, 0.589, 0.500], [0.000, 0.000, 0.000], [0.500, 0.500, 0.000]]}